Record 1
First-principles (PBE) data for an optimized crystal structure of La5Ni, as listed in the Alexandria database.

Output
DFT formation energy   -38 kJ/mol of formula units
Uncorrected energy   -5.136 eV/atom
Energy relative to the lowest polymorph listed for this composition   0.0000 eV/atom
Calculated volume   388.78 Å³/cell
Crystal system   monoclinic

Geometry as CIF:
```
data_La5Ni
_symmetry_space_group_name_H-M 'C 1 m 1'
_symmetry_Int_Tables_number 8
_symmetry_space_group_name_Hall 'C -2y'
_cell_length_a 12.4657
_cell_length_b 3.7116
_cell_length_c 8.8251
_cell_angle_alpha 90.00
_cell_angle_beta 107.79
_cell_angle_gamma 90.00
loop_
_atom_site_label
_atom_site_fract_x
_atom_site_fract_y
_atom_site_fract_z
_atom_site_occupancy
La1 0.0000 0.0000 0.0000 1
La2 0.0519 0.0000 0.4170 1
La3 0.1968 0.5000 0.8037 1
La4 0.2640 0.5000 0.2465 1
La5 0.3849 0.0000 0.6322 1
Ni1 0.3327 0.0000 0.0420 1
```

***

Record 2
First-principles (PBE) data for an optimized crystal structure of La3Ni, as listed in the Alexandria database.

Output
DFT formation energy   46 kJ/mol of formula units
Uncorrected energy   -5.022 eV/atom
Calculated volume   113.94 Å³/cell
Crystal system   orthorhombic

Geometry as CIF:
```
data_La3Ni
_symmetry_space_group_name_H-M 'P m m 2'
_symmetry_Int_Tables_number 25
_symmetry_space_group_name_Hall 'P 2 -2'
_cell_length_a 3.8281
_cell_length_b 4.8625
_cell_length_c 6.1212
_cell_angle_alpha 90.00
_cell_angle_beta 90.00
_cell_angle_gamma 90.00
loop_
_atom_site_label
_atom_site_fract_x
_atom_site_fract_y
_atom_site_fract_z
_atom_site_occupancy
La1 0.0000 0.0000 0.0000 1
La2 0.0000 0.5000 0.3988 1
La3 0.5000 0.0000 0.5807 1
Ni1 0.5000 0.5000 0.8510 1
```

***

Record 3
First-principles (PBE) data for an optimized crystal structure of La3Ni, as listed in the Alexandria database.

Output
DFT formation energy   -18 kJ/mol of formula units
Uncorrected energy   -5.187 eV/atom
Calculated volume   128.46 Å³/cell
Crystal system   hexagonal

Geometry as CIF:
```
data_La3Ni
_symmetry_space_group_name_H-M 'P -6 m 2'
_symmetry_Int_Tables_number 187
_symmetry_space_group_name_Hall 'P -6 2'
_cell_length_a 3.9027
_cell_length_b 3.9027
_cell_length_c 9.7391
_cell_angle_alpha 90.00
_cell_angle_beta 90.00
_cell_angle_gamma 120.00
loop_
_atom_site_label
_atom_site_fract_x
_atom_site_fract_y
_atom_site_fract_z
_atom_site_occupancy
La1 0.0000 0.0000 0.0000 1
La2 0.6667 0.3333 0.3167 1
Ni1 0.0000 0.0000 0.5000 1
```

***

Record 4
First-principles (PBE) data for an optimized crystal structure of La3Ni, as listed in the Alexandria database.

Output
DFT formation energy   70 kJ/mol of formula units
Uncorrected energy   -4.959 eV/atom
Calculated volume   114.08 Å³/cell
Crystal system   cubic

Geometry as CIF:
```
data_La3Ni
_symmetry_space_group_name_H-M 'P m -3 m'
_symmetry_Int_Tables_number 221
_symmetry_space_group_name_Hall '-P 4 2 3'
_cell_length_a 4.8499
_cell_length_b 4.8499
_cell_length_c 4.8499
_cell_angle_alpha 90.00
_cell_angle_beta 90.00
_cell_angle_gamma 90.00
loop_
_atom_site_label
_atom_site_fract_x
_atom_site_fract_y
_atom_site_fract_z
_atom_site_occupancy
La1 0.0000 0.0000 0.5000 1
Ni1 0.5000 0.5000 0.5000 1
```

***

Record 5
First-principles (PBE) data for an optimized crystal structure of La3Ni5, as listed in the Alexandria database.

Output
DFT formation energy   -155 kJ/mol of formula units
Uncorrected energy   -5.662 eV/atom
Energy relative to the lowest polymorph listed for this composition   0.0000 eV/atom
Calculated volume   322.78 Å³/cell
Crystal system   hexagonal

Geometry as CIF:
```
data_La3Ni5
_symmetry_space_group_name_H-M 'P 63/m c m'
_symmetry_Int_Tables_number 193
_symmetry_space_group_name_Hall '-P 6c 2'
_cell_length_a 9.0721
_cell_length_b 9.0721
_cell_length_c 4.5285
_cell_angle_alpha 90.00
_cell_angle_beta 90.00
_cell_angle_gamma 120.00
loop_
_atom_site_label
_atom_site_fract_x
_atom_site_fract_y
_atom_site_fract_z
_atom_site_occupancy
La1 0.0000 0.3569 0.2500 1
Ni1 0.0000 0.1537 0.7500 1
Ni2 0.3333 0.6667 0.0000 1
```

***

Record 6
First-principles (PBE) data for an optimized crystal structure of La5Ni3, as listed in the Alexandria database.

Output
DFT formation energy   -59 kJ/mol of formula units
Uncorrected energy   -5.324 eV/atom
Energy relative to the lowest polymorph listed for this composition   0.1580 eV/atom
Calculated volume   419.92 Å³/cell
Crystal system   orthorhombic

Geometry as CIF:
```
data_La5Ni3
_symmetry_space_group_name_H-M 'C m m m'
_symmetry_Int_Tables_number 65
_symmetry_space_group_name_Hall '-C 2 2'
_cell_length_a 8.0458
_cell_length_b 11.4779
_cell_length_c 4.5471
_cell_angle_alpha 90.00
_cell_angle_beta 90.00
_cell_angle_gamma 90.00
loop_
_atom_site_label
_atom_site_fract_x
_atom_site_fract_y
_atom_site_fract_z
_atom_site_occupancy
La1 0.0000 0.0000 0.0000 1
La2 0.1947 0.5000 0.5000 1
La3 0.2500 0.2500 0.0000 1
Ni1 0.0000 0.1729 0.5000 1
Ni2 0.0000 0.5000 0.0000 1
```

***

For each record above, in turn, the calculated ρ values are 6.434 6.928 6.145 6.920 7.307 6.885 g/cm3.